# 1
A plane-wave DFT calculation with SCAN was carried out for a PBEsol-optimized structure of MnOs2Ru.

## Properties
N(E_F): 3.5 states/eV per cell
magnetization: 0.355 μB per atom
E_tot: -48.902 eV per atom
energy relative to the elements: 0.3078 eV/atom
volume: 13.71 A^3/atom

Cell: 2.636 4.653 5.185 Å, 115.89 103.48 92.70°
Site moments in Bohr magnetons follow the coordinates.
Element x y z (fractional)
Os 0.000 0.000 0.500  -0.41
Mn 0.000 0.500 0.000  3.44
Ru 0.500 0.000 0.000  -1.22
Os 0.500 0.500 0.500  -0.41



# 2
A plane-wave DFT calculation with SCAN was carried out for a PBEsol-optimized structure of MnSb2Os.

## Properties
E above lowest polymorph: 330.3 meV/atom
N(E_F): 3.8 states/eV per cell
magnetization: 0.986 μB per atom
E_tot: -40.727 eV per atom
energy relative to the elements, uncorrected: 1.7 eV/f.u.
volume: 16.28 A^3/atom

Cell: 4.516 4.516 4.516 Å, 60.00 60.00 60.00°
Site moments in Bohr magnetons follow the coordinates.
Element x y z (fractional)
Sb 0.250 0.250 0.250  -0.02
Mn 0.500 0.500 0.500  3.58
Sb 0.750 0.750 0.750  -0.02
Os 0.000 0.000 0.000  0.31



# 3
A plane-wave DFT calculation with SCAN was carried out for a PBEsol-optimized structure of MnSbOs2.

## Properties
N(E_F): 3.7 states/eV per cell
magnetization: 0.726 μB per atom
E_tot: -49.276 eV per atom
energy relative to the elements, uncorrected: 2.2 eV/f.u.
volume: 14.87 A^3/atom

Cell: 2.861 2.861 8.553 Å, 80.37 80.37 60.00°
Site moments in Bohr magnetons follow the coordinates.
Element x y z (fractional)
Mn 0.252 0.252 0.244  3.10
Sb 0.503 0.503 0.490  -0.05
Os 0.997 0.997 0.009  -0.13
Os 0.747 0.747 0.758  0.00



# 4
A plane-wave DFT calculation with SCAN was carried out for a PBEsol-optimized structure of MnSbOs2.

## Properties
N(E_F): 3.9 states/eV per cell
magnetization: 0.786 μB per atom
E_tot: -49.089 eV per atom
energy relative to the elements, uncorrected: 2.9 eV/f.u.
volume: 15.87 A^3/atom

Cell: 2.793 2.793 9.111 Å, 90.00 90.00 116.74°
Site moments in Bohr magnetons follow the coordinates.
Element x y z (fractional)
Sb 0.500 0.500 0.500  -0.01
Mn 0.500 0.500 0.000  3.33
Os 0.000 0.000 0.781  -0.13
Os 0.000 0.000 0.219  -0.13



# 5
A plane-wave DFT calculation with SCAN was carried out for a PBEsol-optimized structure of MnSb2Os.

## Properties
E above lowest polymorph: 162.8 meV/atom
N(E_F): 1.7 states/eV per cell
magnetization: 0.884 μB per atom
E_tot: -40.895 eV per atom
energy relative to the elements, uncorrected: 1.1 eV/f.u.
volume: 20.23 A^3/atom

Cell: 3.080 3.080 10.007 Å, 81.15 81.15 60.00°
Site moments in Bohr magnetons follow the coordinates.
Element x y z (fractional)
Os 0.241 0.241 0.278  0.03
Mn 0.511 0.511 0.468  3.61
Sb 0.771 0.771 0.686  -0.10
Sb 0.978 0.978 0.067  -0.02



# 6
A plane-wave DFT calculation with SCAN was carried out for a PBEsol-optimized structure of Mn2SbOs.

## Properties
N(E_F): 2.0 states/eV per cell
magnetization: 1.290 μB per atom
E_tot: -36.277 eV per atom
energy relative to the elements, uncorrected: 0.5 eV/f.u.
volume: 14.39 A^3/atom

Cell: 2.964 4.519 4.641 Å, 100.76 90.00 109.14°
Site moments in Bohr magnetons follow the coordinates.
Element x y z (fractional)
Mn 0.993 0.987 0.979  2.83
Sb 0.749 0.497 0.233  -0.08
Os 0.508 0.017 0.540  -0.10
Mn 0.249 0.499 0.747  2.43